No. 1
The following is a DFT calculation (PBE) of CeAgHgPd after structural relaxation. Values from VASP.

The structure in Quantum ESPRESSO input format:
```
&SYSTEM
  ibrav = 0, nat = 4, ntyp = 4
/
ATOMIC_SPECIES
Ag 107.87 Ag.upf
Pd 106.42 Pd.upf
Hg 200.59 Hg.upf
Ce 140.12 Ce.upf
CELL_PARAMETERS angstrom
-4.635 1.770 0.200
-3.510 -2.506 2.460
-1.793 1.787 4.272
ATOMIC_POSITIONS angstrom
Ag -2.485 0.263 1.733
Pd -7.454 0.788 5.199
Hg 0.000 0.000 0.000
Ce -4.969 0.525 3.466
```

Results
Magnetic moment, μB per formula unit: 0.76
Crystal system: cubic
Final energy, eV/atom: -3.910
N(E_F), states/eV per cell: 6.9
Calculated density, Mg/m³: 10.6

***

No. 2
The following is a DFT calculation (PBE) of MnCr2As after structural relaxation. Values from VASP.

The structure in Quantum ESPRESSO input format:
```
&SYSTEM
  ibrav = 0, nat = 4, ntyp = 3
/
ATOMIC_SPECIES
As 74.92 As.upf
Cr 52.00 Cr.upf
Mn 54.94 Mn.upf
CELL_PARAMETERS angstrom
2.679 0.003 0.000
-0.868 2.534 0.000
0.000 0.000 7.578
ATOMIC_POSITIONS angstrom
As 0.905 1.269 5.692
Cr 0.000 0.000 0.059
Cr 0.905 1.269 1.875
Mn 0.000 0.000 3.741
```

Results
Magnetic moment, μB per formula unit: 1.91
Crystal system: orthorhombic
Final energy, eV/atom: -8.004
N(E_F), states/eV per cell: 3.7
Calculated density, Mg/m³: 7.5

***

No. 3
The following is a DFT calculation (PBE) of Th2CdSn after structural relaxation. Values from VASP.

The structure in Quantum ESPRESSO input format:
```
&SYSTEM
  ibrav = 0, nat = 4, ntyp = 3
/
ATOMIC_SPECIES
Sn 118.71 Sn.upf
Th 232.04 Th.upf
Cd 112.41 Cd.upf
CELL_PARAMETERS angstrom
-2.762 0.619 1.948
-1.708 -2.611 1.439
5.485 0.091 10.776
ATOMIC_POSITIONS angstrom
Sn 0.000 0.000 0.000
Th 3.605 -0.112 8.176
Th -2.590 -1.788 5.987
Cd 0.508 -0.950 7.081
```

Results
Magnetic moment, μB per formula unit: 0.00
Crystal system: trigonal
Final energy, eV/atom: -4.840
N(E_F), states/eV per cell: 4.7
Calculated density, Mg/m³: 9.5